Record 1
Material: ZrZn2Os
Method: DFT, PBEsol
State: optimized geometry

Calculated values
* space group: P4/mmm
* energy of formation: 2.6 meV/atom
* spin magnetization: 0.00 μB per formula unit

Geometry as extended XYZ:
```
4
Lattice="-0.948 -2.052 -2.402 3.054 -1.236 -0.149 -1.386 -3.889 3.870" Properties=species:S:1:pos:R:3 pbc="T T T"
Zn -0.998 -2.800 2.787
Zn -0.388 -1.089 1.083
Os 0.360 -3.589 0.660
Zr 1.053 -1.644 -1.275
```

=====

Record 2
Material: ZrZn4Os
Method: DFT, PBEsol
State: optimized geometry

Calculated values
* space group: F-43m
* energy of formation: -280.0 meV/atom
* spin magnetization: 0.00 μB per formula unit

Geometry as extended XYZ:
```
6
Lattice="-1.699 -4.538 0.892 3.076 -3.522 1.552 -0.287 -1.657 4.631" Properties=species:S:1:pos:R:3 pbc="T T T"
Zn 0.408 -3.639 2.650
Zn -0.445 -5.917 3.098
Zn 1.952 -5.407 3.429
Zn 0.264 -4.470 4.975
Zr 0.817 -7.287 5.307
Os 0.000 0.000 0.000
```

=====

Record 3
Material: ZrZnOs2
Method: DFT, PBEsol
State: optimized geometry

Calculated values
* space group: R-3m
* energy of formation: 238.6 meV/atom
* spin magnetization: 0.00 μB per formula unit

Geometry as extended XYZ:
```
4
Lattice="-1.275 2.281 1.008 -2.030 -0.260 1.912 5.025 1.193 7.551" Properties=species:S:1:pos:R:3 pbc="T T T"
Os 0.529 0.812 2.724
Os 1.190 2.402 7.746
Zn 0.860 1.607 5.235
Zr 0.000 0.000 0.000
```

=====

Record 4
Material: Zr2ZnOs
Method: DFT, PBEsol
State: optimized geometry

Calculated values
* space group: P4/mmm
* energy of formation: -416.8 meV/atom
* spin magnetization: 0.00 μB per formula unit

Geometry as extended XYZ:
```
4
Lattice="3.246 0.000 0.000 0.000 3.246 0.000 0.000 0.000 6.624" Properties=species:S:1:pos:R:3 pbc="T T T"
Os 1.623 1.623 0.000
Zn 1.623 1.623 3.312
Zr 0.000 0.000 1.619
Zr 0.000 0.000 5.005
```

=====

Record 5
Material: ZrZnOs2
Method: DFT, PBEsol
State: optimized geometry

Calculated values
* space group: Cm
* energy of formation: -29.7 meV/atom
* spin magnetization: 0.00 μB per formula unit

Geometry as extended XYZ:
```
4
Lattice="3.072 0.000 0.000 0.000 4.396 0.013 -1.536 -2.177 4.558" Properties=species:S:1:pos:R:3 pbc="T T T"
Zn 0.000 -0.111 4.427
Os 1.536 0.161 2.265
Os 0.000 4.255 0.149
Zr 0.000 2.331 2.308
```

=====

Record 6
Material: Zr3Os
Method: DFT, PBEsol
State: optimized geometry

Calculated values
* space group: P2/m
* energy of formation: -151.9 meV/atom
* spin magnetization: 0.00 μB per formula unit

Geometry as extended XYZ:
```
4
Lattice="3.118 0.000 0.007 0.000 4.501 0.000 -1.469 0.000 5.471" Properties=species:S:1:pos:R:3 pbc="T T T"
Zr -0.477 2.251 4.215
Zr 0.824 0.000 2.739
Zr 2.126 2.251 1.263
Os 0.000 0.000 0.000
```

=====

Record 7
Material: ZrOs3
Method: DFT, PBEsol
State: optimized geometry

Calculated values
* space group: P4/mmm
* energy of formation: 56.5 meV/atom
* spin magnetization: 0.00 μB per formula unit

Geometry as extended XYZ:
```
4
Lattice="-0.874 -1.142 2.402 2.459 -1.310 0.272 2.872 6.223 4.002" Properties=species:S:1:pos:R:3 pbc="T T T"
Zr 0.793 -1.226 1.337
Os 2.229 1.886 3.338
Os 2.079 4.504 2.896
Os 0.793 1.719 1.105
```

=====

Record 8
Material: Zr4Os
Method: DFT, PBEsol
State: optimized geometry

Calculated values
* space group: I4/mmm
* offset from the most stable computed form: 4.59 eV/f.u.
* energy of formation: 686.4 meV/atom
* spin magnetization: 0.00 μB per formula unit

Geometry as extended XYZ:
```
5
Lattice="3.621 0.000 0.000 0.000 3.621 0.000 -1.811 -1.811 8.236" Properties=species:S:1:pos:R:3 pbc="T T T"
Os 0.000 0.000 0.000
Zr 1.811 1.811 1.378
Zr 0.000 1.811 4.118
Zr 1.811 0.000 4.118
Zr 0.000 0.000 6.858
```